Record 1
Material: Rb2BrN
Method: DFT, meta-GGA SCAN
State: single point on PBEsol structure

calculated total energy	-17.78	eV per atom
D(E_F)	5.52	states/eV/f.u.

Cell lengths 7.767, 7.767, 7.767 Å; angles 90.00, 90.00, 90.00 degrees
Space group Fm-3m (No. 225)
Symmetry-distinct sites (fractional):
Rb (0.250, 0.250, 0.250) (multiplicity 8)
Br (0.000, 0.000, 0.000) (multiplicity 4)
N (0.000, 0.000, 0.500) (multiplicity 4)


Record 2
Material: SrLi2Au
Method: DFT, meta-GGA SCAN
State: single point on PBEsol structure

energy of formation from the pure elements	-39.9	kJ/mol of atoms
calculated total energy	-24.47	eV per atom
polymorph energy (0 for the lowest one)	112	meV per atom
D(E_F)	2.16	states/eV/f.u.

Cell lengths 3.676, 3.676, 7.056 Å; angles 90.00, 90.00, 90.00 degrees
Space group P4mm (No. 99)
Symmetry-distinct sites (fractional):
Sr (0.000, 0.000, 0.000) (multiplicity 1)
Li (0.000, 0.000, 0.433) (multiplicity 1)
Li (0.500, 0.500, 0.627) (multiplicity 1)
Au (0.500, 0.500, 0.260) (multiplicity 1)


Record 3
Material: TaAl2Tl
Method: DFT, meta-GGA SCAN
State: single point on PBEsol structure

energy of formation from the pure elements	8.6	kJ/mol of atoms
calculated total energy	-38.52	eV per atom
polymorph energy (0 for the lowest one)	0	meV per atom
D(E_F)	0.66	states/eV/f.u.

Cell lengths 3.932, 3.932, 9.011 Å; angles 90.00, 90.00, 90.00 degrees
Space group I-4m2 (No. 119)
Symmetry-distinct sites (fractional):
Ta (0.000, 0.000, 0.000) (multiplicity 2)
Al (0.000, 0.000, 0.500) (multiplicity 2)
Al (0.000, 0.500, 0.750) (multiplicity 2)
Tl (0.000, 0.500, 0.250) (multiplicity 2)


Record 4
Material: ZrSc2Te
Method: DFT, meta-GGA SCAN
State: single point on PBEsol structure

calculated total energy	-24.29	eV per atom
D(E_F)	4.42	states/eV/f.u.

Cell lengths 6.995, 6.995, 6.995 Å; angles 90.00, 90.00, 90.00 degrees
Space group F-43m (No. 216)
Symmetry-distinct sites (fractional):
Zr (0.000, 0.000, 0.000) (multiplicity 4)
Sc (0.000, 0.000, 0.500) (multiplicity 4)
Sc (0.250, 0.250, 0.250) (multiplicity 4)
Te (0.250, 0.250, 0.750) (multiplicity 4)


Record 5
Material: Lu6Te2Au
Method: DFT, meta-GGA SCAN
State: single point on PBEsol structure

calculated total energy	-53.76	eV per atom
D(E_F)	6.46	states/eV/f.u.

Cell lengths 20.923, 3.936, 11.151 Å; angles 90.00, 90.00, 90.00 degrees
Space group Pnma (No. 62)
Symmetry-distinct sites (fractional):
Lu (0.008, 0.250, 0.111) (multiplicity 4)
Lu (0.026, 0.750, 0.379) (multiplicity 4)
Lu (0.109, 0.250, 0.815) (multiplicity 4)
Lu (0.140, 0.750, 0.063) (multiplicity 4)
Lu (0.157, 0.250, 0.531) (multiplicity 4)
Lu (0.233, 0.750, 0.740) (multiplicity 4)
Te (0.126, 0.250, 0.269) (multiplicity 4)
Te (0.237, 0.250, 0.957) (multiplicity 4)
Au (0.075, 0.750, 0.634) (multiplicity 4)


Record 6
Material: CaZr2Si
Method: DFT, meta-GGA SCAN
State: single point on PBEsol structure

calculated total energy	-20.23	eV per atom
D(E_F)	3.45	states/eV/f.u.

Cell lengths 3.232, 4.844, 5.705 Å; angles 90.00, 100.34, 90.00 degrees
Space group P2/m (No. 10)
Symmetry-distinct sites (fractional):
Ca (0.000, 0.000, 0.000) (multiplicity 1)
Zr (0.327, 0.500, 0.715) (multiplicity 2)
Si (0.500, 0.000, 0.500) (multiplicity 1)


Record 7
Material: CrCl2F
Method: DFT, meta-GGA SCAN
State: single point on PBEsol structure

calculated total energy	-10.30	eV per atom
D(E_F)	1.47	states/eV/f.u.

Cell lengths 6.005, 6.005, 6.005 Å; angles 90.00, 90.00, 90.00 degrees
Space group Fm-3m (No. 225)
Symmetry-distinct sites (fractional):
Cr (0.000, 0.000, 0.000) (multiplicity 4)
Cl (0.250, 0.250, 0.250) (multiplicity 8)
F (0.000, 0.000, 0.500) (multiplicity 4)


Record 8
Material: ZrNbTc2W
Method: DFT, meta-GGA SCAN
State: single point on PBEsol structure

energy of formation from the pure elements	143.8	kJ/mol of atoms
calculated total energy	-39.24	eV per atom
D(E_F)	7.42	states/eV/f.u.

Cell lengths 4.627, 4.627, 4.725 Å; angles 90.00, 90.00, 90.00 degrees
Space group P4/mmm (No. 123)
Symmetry-distinct sites (fractional):
Zr (0.000, 0.000, 0.000) (multiplicity 1)
Nb (0.500, 0.500, 0.500) (multiplicity 1)
Tc (0.000, 0.500, 0.500) (multiplicity 2)
W (0.500, 0.500, 0.000) (multiplicity 1)


Record 9
Material: MnP2HO
Method: DFT, meta-GGA SCAN
State: single point on PBEsol structure

calculated total energy	-9.33	eV per atom
D(E_F)	1.54	states/eV/f.u.

Cell lengths 4.451, 4.451, 3.351 Å; angles 90.00, 90.00, 90.00 degrees
Space group P4/mmm (No. 123)
Symmetry-distinct sites (fractional):
Mn (0.000, 0.000, 0.000) (multiplicity 1)
P (0.000, 0.500, 0.000) (multiplicity 2)
H (0.500, 0.500, 0.500) (multiplicity 1)
O (0.000, 0.000, 0.500) (multiplicity 1)


Record 10
Material: CrReP2O
Method: DFT, meta-GGA SCAN
State: single point on PBEsol structure

calculated total energy	-23.03	eV per atom
D(E_F)	2.17	states/eV/f.u.

Cell lengths 4.570, 4.570, 3.339 Å; angles 90.00, 90.00, 90.00 degrees
Space group P4/mmm (No. 123)
Symmetry-distinct sites (fractional):
Cr (0.000, 0.000, 0.000) (multiplicity 1)
Re (0.500, 0.500, 0.500) (multiplicity 1)
P (0.000, 0.500, 0.000) (multiplicity 2)
O (0.000, 0.000, 0.500) (multiplicity 1)


Record 11
Material: FeAg2
Method: DFT, meta-GGA SCAN
State: single point on PBEsol structure

energy of formation from the pure elements	38.9	kJ/mol of atoms
calculated total energy	-26.55	eV per atom
D(E_F)	1.37	states/eV/f.u.

Cell lengths 4.5136, 4.5136, 2.6196 Å; angles 90.00, 90.00, 120.00 degrees
Space group P6/mmm (No. 191)
Symmetry-distinct sites (fractional):
Fe (0.0000, 0.0000, 0.0000) (multiplicity 1)
Ag (0.3333, 0.6667, 0.5000) (multiplicity 2)


Record 12
Material: RbPO3
Method: DFT, meta-GGA SCAN
State: single point on PBEsol structure

calculated total energy	-12.46	eV per atom
D(E_F)	0.00	states/eV/f.u.

Cell lengths 4.515, 6.076, 12.874 Å; angles 90.00, 90.00, 90.00 degrees
Space group Pnma (No. 62)
Symmetry-distinct sites (fractional):
Rb (0.229, 0.250, 0.092) (multiplicity 4)
P (0.180, 0.750, 0.325) (multiplicity 4)
O (0.165, 0.250, 0.712) (multiplicity 4)
O (0.237, 0.538, 0.381) (multiplicity 8)